Record 1
Material: GdCdTc
Method: DFT, PBE-GGA
State: optimized geometry

Computed properties:
E_tot (eV/cell): -13.82
Volume (Å³/atom): 24.07
Energy relative to the elements (eV per formula unit): 2.1
Energy relative to the lowest polymorph listed for this composition (meV per atom): 465

Cell lengths 4.6744, 4.6744, 4.6744 Å; angles 60.00, 60.00, 60.00 degrees
Last column: nearest neighbours and their distance in Å.
Sites, in units of the cell vectors:
Cd  0.0000  0.0000  0.0000  4 Gd 2.86, 4 Tc 2.86
Gd  0.2500  0.2500  0.2500  4 Cd 2.86
Tc  0.7500  0.7500  0.7500  4 Cd 2.86

---

Record 2
Material: GdCdTc
Method: DFT, PBE-GGA
State: optimized geometry

Computed properties:
E_tot (eV/cell): -45.64
Volume (Å³/atom): 20.96
Energy relative to the elements (eV per formula unit): 0.7
Energy relative to the lowest polymorph listed for this composition (meV per atom): 0

Cell lengths 8.0968, 8.0968, 3.3220 Å; angles 90.00, 90.00, 120.00 degrees
Last column: nearest neighbours and their distance in Å.
Sites, in units of the cell vectors:
Cd  0.6123  0.0000  0.5000  5 Tc 3.01-3.14, 6 Gd 3.18-3.26, 2 Cd 3.32
Cd  0.3877  0.3877  0.5000  5 Tc 3.01-3.14, 6 Gd 3.18-3.26, 2 Cd 3.32
Cd  0.0000  0.6123  0.5000  5 Tc 3.01-3.14, 6 Gd 3.18-3.26, 2 Cd 3.32
Gd  0.2771  0.0000  0.0000  4 Tc 2.79-2.95
Gd  0.0000  0.2771  0.0000  4 Tc 2.79-2.95
Gd  0.7229  0.7229  0.0000  4 Tc 2.79-2.95
Tc  0.6667  0.3333  0.0000  3 Gd 2.95, 6 Cd 3.01
Tc  0.3333  0.6667  0.0000  3 Gd 2.95, 6 Cd 3.01
Tc  0.0000  0.0000  0.5000  6 Gd 2.79

---

Record 3
Material: Gd2YTl2Zn3Cd
Method: DFT, PBE-GGA
State: optimized geometry

Computed properties:
E_tot (eV/cell): -28.03
Volume (Å³/atom): 23.25

Cell lengths 4.5584, 7.2716, 7.2716 Å; angles 119.77, 90.00, 90.00 degrees
Last column: nearest neighbours and their distance in Å.
Sites, in units of the cell vectors:
Cd  0.0000  0.9984  0.9984  6 Zn 2.83-2.84, 1 Y 3.11, 2 Gd 3.12
Gd  0.0000  0.4281  0.0007  1 Cd 3.12, 4 Tl 3.15, 2 Zn 3.37
Gd  0.0000  0.0007  0.4281  1 Cd 3.12, 4 Tl 3.15, 2 Zn 3.37
Tl  0.5000  0.6664  0.3344  3 Zn 2.87-2.88, 2 Y 3.14, 4 Gd 3.15
Tl  0.5000  0.3344  0.6664  3 Zn 2.87-2.88, 2 Y 3.14, 4 Gd 3.15
Y  0.0000  0.5726  0.5726  1 Cd 3.11, 4 Tl 3.14, 2 Zn 3.39
Zn  0.5000  0.7695  0.0004  2 Cd 2.83, 2 Tl 2.87-2.88, 2 Zn 2.90-2.91
Zn  0.5000  0.2295  0.2295  2 Cd 2.84, 2 Tl 2.88, 2 Zn 2.90
Zn  0.5000  0.0004  0.7695  2 Cd 2.83, 2 Tl 2.87-2.88, 2 Zn 2.90-2.91